# Mg2AlSi3Pt4, optimized geometry, DFT PBE-GGA
data_Mg2AlSi3Pt4
_symmetry_space_group_name_H-M 'P -4 m 2'
_symmetry_Int_Tables_number 115
_symmetry_space_group_name_Hall 'P -4 -2'
_cell_length_a 3.924
_cell_length_b 3.924
_cell_length_c 10.867
_cell_angle_alpha 90.00
_cell_angle_beta 90.00
_cell_angle_gamma 90.00
loop_
_atom_site_label
_atom_site_type_symbol
_atom_site_fract_x
_atom_site_fract_y
_atom_site_fract_z
_atom_site_occupancy
Mg1 Mg 0.000 0.500 0.241 1
Al1 Al 0.500 0.500 0.000 1
Si1 Si 0.000 0.000 0.000 1
Si2 Si 0.000 0.500 0.638 1
Pt1 Pt 0.000 0.000 0.500 1
Pt2 Pt 0.000 0.500 0.854 1
Pt3 Pt 0.500 0.500 0.500 1
# - E_tot (eV/atom) = -5.46

=====

# SmMgAlPt2, optimized geometry, DFT PBE-GGA
data_SmMgAlPt2
_symmetry_space_group_name_H-M 'I -4 m 2'
_symmetry_Int_Tables_number 119
_symmetry_space_group_name_Hall 'I -4 -2'
_cell_length_a 4.055
_cell_length_b 4.055
_cell_length_c 12.060
_cell_angle_alpha 90.00
_cell_angle_beta 90.00
_cell_angle_gamma 90.00
loop_
_atom_site_label
_atom_site_type_symbol
_atom_site_fract_x
_atom_site_fract_y
_atom_site_fract_z
_atom_site_occupancy
Sm1 Sm 0.000 0.000 0.000 1
Mg1 Mg 0.000 0.500 0.750 1
Al1 Al 0.000 0.500 0.250 1
Pt1 Pt 0.000 0.000 0.387 1
# - E_tot (eV/atom) = -5.42